1.
This record from the Alexandria database describes Ba4PtRh after structural relaxation. The functional is PBE.

Unit cell a=6.6838 b=6.6838 c=6.6838 alpha=60.00 beta=60.00 gamma=60.00
Fractional coordinates of all 6 atoms:
1 Ba 0.1250 0.1250 0.1250
2 Ba 0.1250 0.1250 0.6251
3 Ba 0.1250 0.6251 0.1250
4 Ba 0.6251 0.1250 0.1250
5 Pt 0.7500 0.7500 0.7500
6 Rh 0.5000 0.5000 0.5000

Output
energy above the lowest structure with this stoichiometry	1171	meV per atom
ΔE_f	4.7	eV/f.u.
size of the total moment	0.0	μB/f.u.

=====

2.
This record from the Alexandria database describes TaCo3Os after structural relaxation. The functional is PBE.

Unit cell a=4.3568 b=4.3568 c=4.3568 alpha=90.00 beta=90.00 gamma=90.00
Fractional coordinates of all 5 atoms:
1 Ta 0.0000 0.0000 0.0000
2 Co 0.0000 0.5000 0.5000
3 Co 0.5000 0.0000 0.5000
4 Co 0.5000 0.5000 0.0000
5 Os 0.5000 0.5000 0.5000

Output
energy above the lowest structure with this stoichiometry	1486	meV per atom
ΔE_f	7.6	eV/f.u.
size of the total moment	0.0	μB/f.u.

=====

3.
This record from the Alexandria database describes RbBa2ScAu after structural relaxation. The functional is PBE.

Unit cell a=6.5532 b=6.5532 c=6.7039 alpha=90.00 beta=90.00 gamma=90.00
Fractional coordinates of all 5 atoms:
1 Rb 0.0000 0.0000 0.0000
2 Ba 0.0000 0.5000 0.5000
3 Ba 0.5000 0.0000 0.5000
4 Sc 0.0000 0.0000 0.5000
5 Au 0.5000 0.5000 0.0000

Output
ΔE_f	3.5	eV/f.u.
size of the total moment	4.4	μB/f.u.

=====

4.
This record from the Alexandria database describes BaSiBr2 after structural relaxation. The functional is PBE.

Unit cell a=5.3770 b=5.3770 c=19.6975 alpha=90.00 beta=90.00 gamma=90.00
Fractional coordinates of all 16 atoms:
1 Ba 0.0000 0.0000 0.0000
2 Ba 0.0000 0.5000 0.2500
3 Ba 0.5000 0.0000 0.7500
4 Ba 0.5000 0.5000 0.5000
5 Si 0.0000 0.0000 0.5000
6 Si 0.0000 0.5000 0.7500
7 Si 0.5000 0.0000 0.2500
8 Si 0.5000 0.5000 0.0000
9 Br 0.2078 0.2500 0.6250
10 Br 0.2500 0.7078 0.8750
11 Br 0.2500 0.7922 0.3750
12 Br 0.2922 0.2500 0.1250
13 Br 0.7078 0.7500 0.1250
14 Br 0.7500 0.2078 0.3750
15 Br 0.7500 0.2922 0.8750
16 Br 0.7922 0.7500 0.6250

Output
energy above the lowest structure with this stoichiometry	239	meV per atom
size of the total moment	0.0	μB/f.u.

=====

5.
This record from the Alexandria database describes K2NaHg8 after structural relaxation. The functional is PBE.

Unit cell a=9.8515 b=9.8515 c=5.4450 alpha=105.85 beta=105.85 gamma=125.25
Fractional coordinates of all 11 atoms:
1 K 0.1842 0.8158 0.0000
2 K 0.8158 0.1842 0.0000
3 Na 0.5000 0.5000 0.5000
4 Hg 0.0941 0.0941 0.3389
5 Hg 0.1493 0.4132 0.7908
6 Hg 0.3122 0.6878 0.5000
7 Hg 0.4132 0.1493 0.7908
8 Hg 0.5868 0.8507 0.2092
9 Hg 0.6878 0.3122 0.5000
10 Hg 0.8507 0.5868 0.2092
11 Hg 0.9059 0.9059 0.6611

Output
ΔE_f	-2.1	eV/f.u.
size of the total moment	0.0	μB/f.u.

=====

6.
This record from the Alexandria database describes Pr3TmTh2As6 after structural relaxation. The functional is PBE.

Unit cell a=9.5191 b=9.5191 c=8.5032 alpha=103.19 beta=103.19 gamma=25.84
Fractional coordinates of all 12 atoms:
1 Pr 0.0000 0.0000 0.0000
2 Pr 0.3336 0.3336 0.6657
3 Pr 0.6664 0.6664 0.3343
4 Tm 0.0000 0.0000 0.5000
5 Th 0.3355 0.3355 0.1703
6 Th 0.6645 0.6645 0.8297
7 As 0.1626 0.1626 0.5842
8 As 0.1683 0.1683 0.0799
9 As 0.4993 0.4993 0.2601
10 As 0.5007 0.5007 0.7399
11 As 0.8317 0.8317 0.9201
12 As 0.8374 0.8374 0.4158

Output
ΔE_f	-17.8	eV/f.u.
size of the total moment	0.0	μB/f.u.

=====

7.
This record from the Alexandria database describes TeRu2W after structural relaxation. The functional is PBE.

Unit cell a=5.9203 b=7.3742 c=2.9868 alpha=90.00 beta=90.00 gamma=90.00
Fractional coordinates of all 8 atoms:
1 Te 0.0000 0.0000 0.0000
2 Te 0.5000 0.5000 0.0000
3 Ru 0.2500 0.2500 0.5000
4 Ru 0.2500 0.7500 0.5000
5 Ru 0.7500 0.2500 0.5000
6 Ru 0.7500 0.7500 0.5000
7 W 0.0000 0.5000 0.0000
8 W 0.5000 0.0000 0.0000

Output
DFT total energy	-8.201	eV per atom
size of the total moment	0.0	μB/f.u.

=====

8.
This record from the Alexandria database describes LaTl2Co after structural relaxation. The functional is PBE.

Unit cell a=4.4261 b=4.4261 c=5.0633 alpha=90.00 beta=90.00 gamma=90.00
Fractional coordinates of all 4 atoms:
1 La 0.0000 0.0000 0.0000
2 Tl 0.0000 0.5000 0.5000
3 Tl 0.5000 0.0000 0.5000
4 Co 0.5000 0.5000 0.0000

Output
ΔE_f	0.5	eV/f.u.
size of the total moment	0.8	μB/f.u.

=====

Which formula does entry 2 have? TaCo3Os